# ErHfFe

A relaxed structure of ErHfFe (PBE, OQMD).

a = 6.322 Å, b = 6.322 Å, c = 6.322 Å
α = 90.00°, β = 90.00°, γ = 90.00°
Space group F-43m (No. 216)
Asymmetric unit:
Er 0.000 0.000 0.000 x4
Hf 0.000 0.000 0.500 x4
Fe 0.250 0.250 0.250 x4

Results
M_tot   0.0 Bohr magnetons per cell
Crystal system   cubic
Electronic total energy   -7.4585 eV per atom

***

# CsLuNbTe3

A relaxed structure of CsLuNbTe3 (PBE, OQMD).

a = 4.335 Å, b = 17.654 Å, c = 11.288 Å
α = 90.00°, β = 90.00°, γ = 90.00°
Space group Cmcm (No. 63)
Asymmetric unit:
Cs 0.000 0.247 0.250 x4
Lu 0.000 0.500 0.000 x4
Nb 0.000 0.031 0.750 x4
Te 0.000 0.118 0.549 x8
Te 0.000 0.433 0.750 x4

Results
Energy relative to the lowest polymorph listed for this composition   0.103 eV per atom
M_tot   6.3 Bohr magnetons per cell
Crystal system   orthorhombic

***

# SmInAg

A relaxed structure of SmInAg (PBE, OQMD).

a = 6.946 Å, b = 6.946 Å, c = 6.946 Å
α = 90.00°, β = 90.00°, γ = 90.00°
Space group F-43m (No. 216)
Asymmetric unit:
Sm 0.000 0.000 0.000 x4
In 0.250 0.250 0.750 x4
Ag 0.000 0.000 0.500 x4

Results
M_tot   0.2 Bohr magnetons per cell
Crystal system   cubic
Electronic total energy   -3.4892 eV per atom

***

# Er3Zn3NiIr2

A relaxed structure of Er3Zn3NiIr2 (PBE, OQMD).

a = 7.0391 Å, b = 7.0391 Å, c = 3.8264 Å
α = 90.00°, β = 90.00°, γ = 120.00°
Space group P-62m (No. 189)
Asymmetric unit:
Er 0.0000 0.4073 0.0000 x3
Zn 0.0000 0.7610 0.5000 x3
Ni 0.0000 0.0000 0.0000 x1
Ir 0.3333 0.6667 0.5000 x2

Results
M_tot   0.0 Bohr magnetons per cell
Crystal system   hexagonal
Electronic total energy   -5.1829 eV per atom

***

# LiCoCuSb

A relaxed structure of LiCoCuSb (PBE, OQMD).

a = 5.988 Å, b = 5.988 Å, c = 5.988 Å
α = 90.00°, β = 90.00°, γ = 90.00°
Space group F-43m (No. 216)
Asymmetric unit:
Li 0.000 0.000 0.000 x4
Co 0.000 0.000 0.500 x4
Cu 0.250 0.250 0.250 x4
Sb 0.250 0.250 0.750 x4

Results
Energy relative to the lowest polymorph listed for this composition   0.000 eV per atom
M_tot   0.0 Bohr magnetons per cell
Crystal system   cubic

***

# DyOsNO

A relaxed structure of DyOsNO (PBE, OQMD).

a = 3.814 Å, b = 3.814 Å, c = 7.530 Å
α = 90.00°, β = 90.00°, γ = 90.00°
Space group P4/nmm (No. 129, origin choice 2)
Asymmetric unit:
Dy 0.250 0.250 0.149 x2
Os 0.250 0.750 0.500 x2
N 0.250 0.250 0.625 x2
O 0.250 0.750 0.000 x2

Results
Energy relative to the lowest polymorph listed for this composition   0.173 eV per atom
M_tot   0.0 Bohr magnetons per cell
Crystal system   tetragonal

***

# KHf5

A relaxed structure of KHf5 (PBE, OQMD).

a = 5.7488 Å, b = 5.7488 Å, c = 5.1436 Å
α = 90.00°, β = 90.00°, γ = 120.00°
Space group P-62m (No. 189)
Asymmetric unit:
K 0.0000 0.0000 0.0000 x1
Hf 0.0000 0.6214 0.5000 x3
Hf 0.3333 0.6667 0.0000 x2

Results
M_tot   0.0 Bohr magnetons per cell
Crystal system   hexagonal
Electronic total energy   -7.8687 eV per atom

***

# SrNiPd

A relaxed structure of SrNiPd (PBE, OQMD).

a = 6.435 Å, b = 6.435 Å, c = 6.435 Å
α = 90.00°, β = 90.00°, γ = 90.00°
Space group F-43m (No. 216)
Asymmetric unit:
Sr 0.000 0.000 0.000 x4
Ni 0.250 0.250 0.750 x4
Pd 0.000 0.000 0.500 x4

Results
M_tot   0.0 Bohr magnetons per cell
Crystal system   cubic
Electronic total energy   -4.0657 eV per atom

***

# TmAsN2O

A relaxed structure of TmAsN2O (PBE, OQMD).

a = 3.340 Å, b = 6.095 Å, c = 5.703 Å
α = 90.00°, β = 90.00°, γ = 90.00°
Space group Pmc2_1 (No. 26)
Asymmetric unit:
Tm 0.000 0.149 0.000 x2
As 0.500 0.337 0.542 x2
N 0.000 0.211 0.604 x2
N 0.500 0.408 0.891 x2
O 0.500 0.109 0.284 x2

Results
M_tot   0.0 Bohr magnetons per cell
Crystal system   orthorhombic
Electronic total energy   -7.1033 eV per atom

***

# NpScZn

A relaxed structure of NpScZn (PBE, OQMD).

a = 6.745 Å, b = 6.745 Å, c = 6.745 Å
α = 90.00°, β = 90.00°, γ = 90.00°
Space group F-43m (No. 216)
Asymmetric unit:
Np 0.000 0.000 0.000 x4
Sc 0.000 0.000 0.500 x4
Zn 0.250 0.250 0.250 x4

Results
Energy relative to the lowest polymorph listed for this composition   0.000 eV per atom
M_tot   22.1 Bohr magnetons per cell
Crystal system   cubic

***

# Y4TlNiN2

A relaxed structure of Y4TlNiN2 (PBE, OQMD).

a = 3.5390 Å, b = 3.5390 Å, c = 14.6924 Å
α = 90.00°, β = 90.00°, γ = 120.00°
Space group P-6m2 (No. 187)
Asymmetric unit:
Y 0.0000 0.0000 0.1327 x2
Y 0.6667 0.3333 0.3201 x2
Tl 0.0000 0.0000 0.5000 x1
Ni 0.6667 0.3333 0.0000 x1
N 0.3333 0.6667 0.2365 x2

Results
M_tot   0.0 Bohr magnetons per cell
Crystal system   hexagonal
Electronic total energy   -7.2163 eV per atom

***

# La2GdMg3CdIn2

A relaxed structure of La2GdMg3CdIn2 (PBE, OQMD).

a = 4.787 Å, b = 13.305 Å, c = 7.784 Å
α = 90.00°, β = 90.00°, γ = 90.00°
Space group Amm2 (No. 38)
Asymmetric unit:
La 0.000 0.211 0.000 x4
Gd 0.000 0.000 0.366 x2
Mg 0.500 0.000 0.026 x2
Mg 0.500 0.119 0.667 x4
Cd 0.000 0.000 0.779 x2
In 0.500 0.162 0.289 x4

Results
M_tot   0.0 Bohr magnetons per cell
Crystal system   orthorhombic
Electronic total energy   -3.2244 eV per atom

***

Q: M_tot of number 5 (LiCoCuSb)?
A: 0.0 Bohr magnetons per cell

***

Repeat the third record exactly.
# SmInAg

A relaxed structure of SmInAg (PBE, OQMD).

a = 6.946 Å, b = 6.946 Å, c = 6.946 Å
α = 90.00°, β = 90.00°, γ = 90.00°
Space group F-43m (No. 216)
Asymmetric unit:
Sm 0.000 0.000 0.000 x4
In 0.250 0.250 0.750 x4
Ag 0.000 0.000 0.500 x4

Results
M_tot   0.2 Bohr magnetons per cell
Crystal system   cubic
Electronic total energy   -3.4892 eV per atom